Ta2SnTe2 | GGA-PBE | optimized geometry

Cell lengths 4.5928, 4.5928, 12.0170 Å; angles 90.00, 90.00, 90.00 degrees
Last column: nearest neighbours and their distance in Å.
Space group I4/mmm (No. 139)
Asymmetric unit:
Ta  0.0000  0.0000  0.1137 [4 per cell]  1 Ta 2.73, 4 Te 2.82
Sn  0.0000  0.0000  0.5000 [2 per cell]  8 Ta 3.52, 8 Te 3.78
Te  0.0000  0.5000  0.2500 [4 per cell]  4 Ta 2.82

Output
The calculation puts the total magnetization at 0.0 μB per formula unit. The total DFT energy (no corrections) is -62.861 eV/cell.